VASP calculation (PBE) on ErZnNiRu after structural relaxation.

POSCAR file:
```
ErZnNiRu
1.0
6.333 0.000 0.000
0.000 6.333 0.000
0.000 0.000 6.333
Er Zn Ni Ru
4 4 4 4
Direct
0.000 0.000 0.000
0.000 0.500 0.500
0.500 0.000 0.500
0.500 0.500 0.000
0.000 0.000 0.500
0.000 0.500 0.000
0.500 0.000 0.000
0.500 0.500 0.500
0.250 0.250 0.750
0.250 0.750 0.250
0.750 0.250 0.250
0.750 0.750 0.750
0.250 0.250 0.250
0.250 0.750 0.750
0.750 0.250 0.750
0.750 0.750 0.250
```

Results
spin magnetization	0.00	μB/cell
ΔE_f	-0.209	eV per atom